# 1
DFT (GGA-PBE) results for a geometry-optimized Hf2TlBr structure.

```
data_Hf2TlBr
_chemical_formula_sum 'Hf8 Tl4 Br4'
_space_group_name_H-M_alt 'F m -3 m'
_space_group_IT_number 225
_space_group_name_Hall '-F 4 2 3'
_cell_length_a 7.033
_cell_length_b 7.033
_cell_length_c 7.033
_cell_angle_alpha 90.00
_cell_angle_beta 90.00
_cell_angle_gamma 90.00
loop_
_atom_site_label
_atom_site_fract_x
_atom_site_fract_y
_atom_site_fract_z
_atom_site_occupancy
Hf1 0.250 0.250 0.250 1
Tl1 0.000 0.000 0.000 1
Br1 0.000 0.000 0.500 1
```

Offset from the most stable computed form ... 0.000 eV per atom
Calculated density ... 12.2 g cm⁻³

# 2
DFT (GGA-PBE) results for a geometry-optimized RbScRu2O8 structure.

```
data_RbScRu2O8
_chemical_formula_sum 'Rb2 Sc2 Ru4 O16'
_space_group_name_H-M_alt 'C 1 2/m 1'
_space_group_IT_number 12
_space_group_name_Hall '-C 2y'
_cell_length_a 9.307
_cell_length_b 5.886
_cell_length_c 8.367
_cell_angle_alpha 90.00
_cell_angle_beta 93.90
_cell_angle_gamma 90.00
loop_
_atom_site_label
_atom_site_fract_x
_atom_site_fract_y
_atom_site_fract_z
_atom_site_occupancy
Rb1 0.000 0.000 0.000 1
Sc1 0.000 0.000 0.500 1
Ru1 0.131 0.500 0.291 1
O1 0.024 0.248 0.319 1
O2 0.189 0.500 0.095 1
O3 0.221 0.000 0.560 1
```

Electronic total energy ... -0.5084 Ry/atom
Calculated density ... 3.3 g cm⁻³

Which formula does entry 1 have?
Hf2TlBr